Below is crystalline NiSe at its relaxed geometry, with properties calculated at the PBE-GGA level.

The total energy is -4.559 eV/atom.

Cell lengths 3.434, 3.434, 3.095 Å; angles 90.00, 90.00, 120.00 degrees
Fractional positions:
Ni1 0.000 0.000 0.000
Se1 0.667 0.333 0.500

=====

Below is crystalline BaMgInAu at its relaxed geometry, with properties calculated at the PBE-GGA level.

The total energy is -2.661 eV/atom. As for the distance to the lowest polymorph of the same formula: 23 meV per atom.

Cell lengths 7.567, 7.567, 7.567 Å; angles 90.00, 90.00, 90.00 degrees
Fractional positions:
Ba1 0.000 0.000 0.000
Ba2 0.000 0.500 0.500
Ba3 0.500 0.000 0.500
Ba4 0.500 0.500 0.000
Mg1 0.250 0.250 0.250
Mg2 0.250 0.750 0.750
Mg3 0.750 0.250 0.750
Mg4 0.750 0.750 0.250
In1 0.000 0.000 0.500
In2 0.000 0.500 0.000
In3 0.500 0.000 0.000
In4 0.500 0.500 0.500
Au1 0.250 0.250 0.750
Au2 0.250 0.750 0.250
Au3 0.750 0.250 0.250
Au4 0.750 0.750 0.750

=====

Below is crystalline HoFe3 at its relaxed geometry, with properties calculated at the PBE-GGA level.

The total energy is -7.091 eV/atom. The calculation puts the formation energy at 0.29 eV per atom.

Cell lengths 3.787, 3.787, 8.452 Å; angles 90.00, 90.00, 90.00 degrees
Fractional positions:
Ho1 0.000 0.000 0.000
Ho2 0.500 0.500 0.500
Fe1 0.000 0.000 0.500
Fe2 0.000 0.500 0.250
Fe3 0.000 0.500 0.750
Fe4 0.500 0.000 0.250
Fe5 0.500 0.000 0.750
Fe6 0.500 0.500 0.000

=====

Below is crystalline NdScNi at its relaxed geometry, with properties calculated at the PBE-GGA level.

The total energy is -5.639 eV/atom. The calculation puts the formation energy at -0.09 eV per atom. As for the distance to the lowest polymorph of the same formula: 0 meV per atom.

Cell lengths 6.595, 6.595, 6.595 Å; angles 90.00, 90.00, 90.00 degrees
Fractional positions:
Nd1 0.000 0.000 0.000
Nd2 0.000 0.500 0.500
Nd3 0.500 0.000 0.500
Nd4 0.500 0.500 0.000
Sc1 0.000 0.000 0.500
Sc2 0.000 0.500 0.000
Sc3 0.500 0.000 0.000
Sc4 0.500 0.500 0.500
Ni1 0.250 0.250 0.250
Ni2 0.250 0.750 0.750
Ni3 0.750 0.250 0.750
Ni4 0.750 0.750 0.250

=====

Below is crystalline TbTeAs at its relaxed geometry, with properties calculated at the PBE-GGA level.

The total energy is -4.609 eV/atom.

Cell lengths 6.974, 6.974, 6.974 Å; angles 90.00, 90.00, 90.00 degrees
Fractional positions:
Tb1 0.000 0.000 0.000
Tb2 0.000 0.500 0.500
Tb3 0.500 0.000 0.500
Tb4 0.500 0.500 0.000
Te1 0.000 0.000 0.500
Te2 0.000 0.500 0.000
Te3 0.500 0.000 0.000
Te4 0.500 0.500 0.500
As1 0.250 0.250 0.250
As2 0.250 0.750 0.750
As3 0.750 0.250 0.750
As4 0.750 0.750 0.250

=====

Below is crystalline Hf3CuS5 at its relaxed geometry, with properties calculated at the PBE-GGA level.

The total energy is -6.708 eV/atom.

Cell lengths 6.108, 6.108, 6.705 Å; angles 90.00, 90.00, 120.00 degrees
Fractional positions:
Hf1 0.000 0.500 0.000
Hf2 0.500 0.000 0.000
Hf3 0.500 0.500 0.000
Cu1 0.000 0.000 0.500
S1 0.000 0.000 0.000
S2 0.333 0.667 0.267
S3 0.333 0.667 0.733
S4 0.667 0.333 0.267
S5 0.667 0.333 0.733

=====

Below is crystalline GdMoPd at its relaxed geometry, with properties calculated at the PBE-GGA level.

The total energy is -6.447 eV/atom. The calculation puts the formation energy at 0.45 eV per atom.

Cell lengths 6.554, 6.554, 6.554 Å; angles 90.00, 90.00, 90.00 degrees
Fractional positions:
Gd1 0.000 0.000 0.000
Gd2 0.000 0.500 0.500
Gd3 0.500 0.000 0.500
Gd4 0.500 0.500 0.000
Mo1 0.000 0.000 0.500
Mo2 0.000 0.500 0.000
Mo3 0.500 0.000 0.000
Mo4 0.500 0.500 0.500
Pd1 0.250 0.250 0.250
Pd2 0.250 0.750 0.750
Pd3 0.750 0.250 0.750
Pd4 0.750 0.750 0.250

=====

Below is crystalline Co3B at its relaxed geometry, with properties calculated at the PBE-GGA level.

The total energy is -6.783 eV/atom.

Cell lengths 3.367, 3.367, 3.367 Å; angles 90.00, 90.00, 90.00 degrees
Fractional positions:
Co1 0.000 0.000 0.500
Co2 0.000 0.500 0.000
Co3 0.500 0.000 0.000
B1 0.500 0.500 0.500